[1]
# CsK2Hg2

A relaxed CsK2Hg2 crystal (PBE, the Alexandria database).

The structure in CIF format:
```
data_CsK2Hg2
_space_group_name_H-M_alt 'P 1'
_space_group_IT_number 1
_space_group_name_Hall 'P 1'
_cell_length_a 5.325
_cell_length_b 7.024
_cell_length_c 7.499
_cell_angle_alpha 102.23
_cell_angle_beta 110.79
_cell_angle_gamma 90.00
loop_
_atom_site_label
_atom_site_type_symbol
_atom_site_fract_x
_atom_site_fract_y
_atom_site_fract_z
_atom_site_occupancy
Hg1 Hg 0.727 0.100 0.454 1
Hg2 Hg 0.273 0.900 0.546 1
Cs1 Cs 0.000 0.000 0.000 1
K1 K 0.655 0.578 0.309 1
K2 K 0.345 0.422 0.691 1
```

Summary:
- energy relative to the elements (eV per atom) = -0.1932
- energy relative to the lowest polymorph listed for this composition (meV per atom) = 0

[2]
# Hg2BiPd5

A relaxed Hg2BiPd5 crystal (PBE, the Alexandria database).

The structure in CIF format:
```
data_Hg2BiPd5
_space_group_name_H-M_alt 'P 1'
_space_group_IT_number 1
_space_group_name_Hall 'P 1'
_cell_length_a 4.240
_cell_length_b 4.240
_cell_length_c 8.537
_cell_angle_alpha 104.38
_cell_angle_beta 104.38
_cell_angle_gamma 90.00
loop_
_atom_site_label
_atom_site_type_symbol
_atom_site_fract_x
_atom_site_fract_y
_atom_site_fract_z
_atom_site_occupancy
Pd1 Pd 0.500 0.500 0.000 1
Pd2 Pd 0.125 0.625 0.250 1
Pd3 Pd 0.875 0.375 0.750 1
Pd4 Pd 0.625 0.125 0.250 1
Pd5 Pd 0.375 0.875 0.750 1
Hg1 Hg 0.253 0.253 0.506 1
Hg2 Hg 0.747 0.747 0.494 1
Bi1 Bi 0.000 0.000 0.000 1
```

Summary:
- energy relative to the elements (eV per atom) = -0.1826

[3]
# MgNbCl2

A relaxed MgNbCl2 crystal (PBE, the Alexandria database).

The structure in CIF format:
```
data_MgNbCl2
_space_group_name_H-M_alt 'P 1'
_space_group_IT_number 1
_space_group_name_Hall 'P 1'
_cell_length_a 9.969
_cell_length_b 9.969
_cell_length_c 9.969
_cell_angle_alpha 18.42
_cell_angle_beta 18.42
_cell_angle_gamma 18.42
loop_
_atom_site_label
_atom_site_type_symbol
_atom_site_fract_x
_atom_site_fract_y
_atom_site_fract_z
_atom_site_occupancy
Cl1 Cl 0.894 0.894 0.894 1
Cl2 Cl 0.106 0.106 0.106 1
Mg1 Mg 0.000 0.000 0.000 1
Nb1 Nb 0.500 0.500 0.500 1
```

Summary:
- energy relative to the lowest polymorph listed for this composition (meV per atom) = 0
- formation energy without anion corrections (kJ per mole of atoms) = -61.7

[4]
# TlNiSe2

A relaxed TlNiSe2 crystal (PBE, the Alexandria database).

The structure in CIF format:
```
data_TlNiSe2
_space_group_name_H-M_alt 'P 1'
_space_group_IT_number 1
_space_group_name_Hall 'P 1'
_cell_length_a 6.196
_cell_length_b 6.196
_cell_length_c 5.150
_cell_angle_alpha 66.08
_cell_angle_beta 66.08
_cell_angle_gamma 33.72
loop_
_atom_site_label
_atom_site_type_symbol
_atom_site_fract_x
_atom_site_fract_y
_atom_site_fract_z
_atom_site_occupancy
Se1 Se 0.243 0.243 0.201 1
Se2 Se 0.125 0.125 0.790 1
Ni1 Ni 0.684 0.684 0.997 1
Tl1 Tl 0.448 0.448 0.511 1
```

Summary:
- formation energy without anion corrections (kJ per mole of atoms) = -20.3

[5]
# Cd4AgAs

A relaxed Cd4AgAs crystal (PBE, the Alexandria database).

The structure in CIF format:
```
data_Cd4AgAs
_space_group_name_H-M_alt 'P 1'
_space_group_IT_number 1
_space_group_name_Hall 'P 1'
_cell_length_a 5.737
_cell_length_b 5.737
_cell_length_c 5.737
_cell_angle_alpha 60.00
_cell_angle_beta 60.00
_cell_angle_gamma 60.00
loop_
_atom_site_label
_atom_site_type_symbol
_atom_site_fract_x
_atom_site_fract_y
_atom_site_fract_z
_atom_site_occupancy
Ag1 Ag 0.750 0.750 0.750 1
Cd1 Cd 0.375 0.375 0.375 1
Cd2 Cd 0.375 0.375 0.875 1
Cd3 Cd 0.375 0.875 0.375 1
Cd4 Cd 0.875 0.375 0.375 1
As1 As 0.000 0.000 0.000 1
```

Summary:
- energy relative to the elements (eV per atom) = 0.2502

[6]
# Hf3CoIr

A relaxed Hf3CoIr crystal (PBE, the Alexandria database).

The structure in CIF format:
```
data_Hf3CoIr
_space_group_name_H-M_alt 'P 1'
_space_group_IT_number 1
_space_group_name_Hall 'P 1'
_cell_length_a 4.657
_cell_length_b 4.657
_cell_length_c 4.657
_cell_angle_alpha 90.00
_cell_angle_beta 90.00
_cell_angle_gamma 90.00
loop_
_atom_site_label
_atom_site_type_symbol
_atom_site_fract_x
_atom_site_fract_y
_atom_site_fract_z
_atom_site_occupancy
Hf1 Hf 0.000 0.000 0.500 1
Hf2 Hf 0.500 0.000 0.000 1
Hf3 Hf 0.000 0.500 0.000 1
Ir1 Ir 0.500 0.500 0.500 1
Co1 Co 0.000 0.000 0.000 1
```

Summary:
- energy relative to the elements (eV per atom) = 0.1916
- energy relative to the lowest polymorph listed for this composition (meV per atom) = 700

[7]
# FeGeIrC2

A relaxed FeGeIrC2 crystal (PBE, the Alexandria database).

The structure in CIF format:
```
data_FeGeIrC2
_space_group_name_H-M_alt 'P 1'
_space_group_IT_number 1
_space_group_name_Hall 'P 1'
_cell_length_a 3.846
_cell_length_b 5.236
_cell_length_c 3.846
_cell_angle_alpha 90.00
_cell_angle_beta 90.00
_cell_angle_gamma 90.00
loop_
_atom_site_label
_atom_site_type_symbol
_atom_site_fract_x
_atom_site_fract_y
_atom_site_fract_z
_atom_site_occupancy
Ir1 Ir 0.000 0.000 0.000 1
Ge1 Ge 0.500 0.500 0.500 1
C1 C 0.000 0.000 0.500 1
C2 C 0.500 0.000 0.000 1
Fe1 Fe 0.000 0.500 0.000 1
```

Summary:
- energy relative to the elements (eV per atom) = 1.4103

[8]
# Ac2CuBiPd6

A relaxed Ac2CuBiPd6 crystal (PBE, the Alexandria database).

The structure in CIF format:
```
data_Ac2CuBiPd6
_space_group_name_H-M_alt 'P 1'
_space_group_IT_number 1
_space_group_name_Hall 'P 1'
_cell_length_a 5.791
_cell_length_b 8.981
_cell_length_c 8.981
_cell_angle_alpha 37.63
_cell_angle_beta 71.21
_cell_angle_gamma 90.03
loop_
_atom_site_label
_atom_site_type_symbol
_atom_site_fract_x
_atom_site_fract_y
_atom_site_fract_z
_atom_site_occupancy
Pd1 Pd 0.742 0.257 0.002 1
Pd2 Pd 0.742 0.745 0.515 1
Pd3 Pd 0.254 0.257 0.003 1
Pd4 Pd 0.258 0.743 0.998 1
Pd5 Pd 0.258 0.255 0.485 1
Pd6 Pd 0.746 0.743 0.997 1
Cu1 Cu 0.500 0.500 0.000 1
Bi1 Bi 0.000 0.000 0.000 1
Ac1 Ac 0.794 0.206 0.412 1
Ac2 Ac 0.206 0.794 0.588 1
```

Summary:
- energy relative to the elements (eV per atom) = -0.4770

Copy entry 8 word for word.
# Ac2CuBiPd6

A relaxed Ac2CuBiPd6 crystal (PBE, the Alexandria database).

The structure in CIF format:
```
data_Ac2CuBiPd6
_space_group_name_H-M_alt 'P 1'
_space_group_IT_number 1
_space_group_name_Hall 'P 1'
_cell_length_a 5.791
_cell_length_b 8.981
_cell_length_c 8.981
_cell_angle_alpha 37.63
_cell_angle_beta 71.21
_cell_angle_gamma 90.03
loop_
_atom_site_label
_atom_site_type_symbol
_atom_site_fract_x
_atom_site_fract_y
_atom_site_fract_z
_atom_site_occupancy
Pd1 Pd 0.742 0.257 0.002 1
Pd2 Pd 0.742 0.745 0.515 1
Pd3 Pd 0.254 0.257 0.003 1
Pd4 Pd 0.258 0.743 0.998 1
Pd5 Pd 0.258 0.255 0.485 1
Pd6 Pd 0.746 0.743 0.997 1
Cu1 Cu 0.500 0.500 0.000 1
Bi1 Bi 0.000 0.000 0.000 1
Ac1 Ac 0.794 0.206 0.412 1
Ac2 Ac 0.206 0.794 0.588 1
```

Summary:
- energy relative to the elements (eV per atom) = -0.4770

Number 7 is which compound?
FeGeIrC2